DFT (GGA-PBE) results for an optimized crystal structure of Ca2GaCuPd2.

a b c (Å): 5.941 13.816 6.186
angles (deg): 90.00 90.00 90.00
Space group Ibam (No. 72)
Asymmetric unit:
Ca  0.236  0.167  0.000 [8 per cell]
Ga  0.000  0.500  0.250 [4 per cell]
Cu  0.000  0.000  0.250 [4 per cell]
Pd  0.238  0.394  0.000 [8 per cell]

Computed properties:
Crystal system: orthorhombic
Magnetization (μB per formula unit): 0.00
E_form (eV per atom): -0.529